Below is a relaxed structure of PmNdTeCl, with properties calculated at the PBE-GGA level.

Properties
Crystal system = cubic
Symmetry = F-43m
Formation energy without anion corrections = -1.298 eV per atom

a b c (Å): 5.2952 5.2952 5.2952
angles (deg): 60.00 60.00 60.00
Sites, in units of the cell vectors:
Pm  0.5000  0.5000  0.5000
Nd  0.0000  0.0000  0.0000
Te  0.2500  0.2500  0.2500
Cl  0.7500  0.7500  0.7500

***

Below is a relaxed structure of Mo5Ru, with properties calculated at the PBE-GGA level.

Properties
Distance to the lowest polymorph of the same formula = 0 meV/atom
Crystal system = orthorhombic
Symmetry = Cmmm

a b c (Å): 7.0458 7.0458 3.1447
angles (deg): 90.00 90.00 143.29
Sites, in units of the cell vectors:
Mo  0.8372  0.1628  0.0000
Mo  0.0000  0.0000  0.5000
Mo  0.6697  0.3303  0.5000
Mo  0.3303  0.6697  0.5000
Ru  0.5000  0.5000  0.0000
Mo  0.1628  0.8372  0.0000

***

| no. | mass density (g cm⁻³) | VASP energy (eV/atom) | D(E_F) (states/eV/f.u.) |
| --- | --- | --- | --- |
| 1 | 7.154 | -4.925 | 4.1 |
| 2 | 10.333 | -10.494 | 6.6 |